V2NiF2 | GGA+U | optimized geometry

Summary:
polymorph energy (0 for the lowest one)	0.215	eV/atom
final energy	-4.6848	eV per atom

a = 7.0684 Å, b = 7.0684 Å, c = 3.9248 Å
α = 90.00°, β = 90.00°, γ = 90.00°
Space group P4/mbm (No. 127)
One atom of each set of equivalent atoms:
V 0.1716 0.3284 0.0000 [4 per cell]
Ni 0.0000 0.0000 0.0000 [2 per cell]
F 0.1474 0.3526 0.5000 [4 per cell]